Density functional theory data (PBE) for crystalline MgZr2H2 at its relaxed geometry.

Summary:
Total energy ... -5.35 eV/atom

Cell and atoms, written as POSCAR:
```
MgZr2H2
1.0
-2.380 -2.625 1.281
2.826 -2.487 0.152
1.211 -1.145 5.442
Mg Zr H
1 2 2
Direct
0.000 0.000 0.000
0.341 0.341 0.318
0.659 0.659 0.682
0.750 0.250 0.500
0.250 0.750 0.500
```

Density functional theory data (PBE) for crystalline AcGe4 at its relaxed geometry.

Summary:
Total energy ... -4.76 eV/atom
Energy of formation ... -0.240 eV per atom

Cell and atoms, written as POSCAR:
```
AcGe4
1.0
4.844 0.405 0.000
0.356 4.848 0.000
-2.600 -2.626 5.136
Ge Ac
4 1
Direct
0.136 0.636 0.772
0.864 0.364 0.228
0.750 0.750 0.000
0.250 0.250 0.000
0.500 0.000 0.500
```

Density functional theory data (PBE) for crystalline Nd4GaSeI2 at its relaxed geometry.

Summary:
Total energy ... -4.69 eV/atom

Cell and atoms, written as POSCAR:
```
Nd4GaSeI2
1.0
4.372 0.000 0.000
0.000 7.446 0.083
0.000 -2.661 7.656
Se Ga Nd I
1 1 4 2
Direct
0.000 0.000 0.000
0.500 0.500 0.000
0.500 0.238 0.198
0.000 0.729 0.201
0.500 0.762 0.802
0.000 0.271 0.799
0.000 0.500 0.500
0.500 0.000 0.500
```

Density functional theory data (PBE) for crystalline TiTeP2Cl at its relaxed geometry.

Summary:
Total energy ... -3.70 eV/atom

Cell and atoms, written as POSCAR:
```
TiTeP2Cl
1.0
5.075 0.000 0.000
0.000 5.075 0.000
0.000 0.000 4.995
P Te Cl Ti
2 1 1 1
Direct
0.500 0.000 0.000
0.000 0.500 0.000
0.000 0.000 0.000
0.000 0.000 0.500
0.500 0.500 0.500
```

Density functional theory data (PBE) for crystalline Pm2CdP at its relaxed geometry.

Summary:
Total energy ... -4.68 eV/atom
Energy of formation ... -0.722 eV per atom

Cell and atoms, written as POSCAR:
```
Pm2CdP
1.0
-2.590 0.661 2.634
2.146 -1.733 2.545
3.119 6.111 1.533
P Pm Cd
1 2 1
Direct
0.500 0.500 0.000
0.000 0.000 0.224
0.000 0.000 0.776
0.500 0.500 0.500
```

Density functional theory data (PBE) for crystalline Ta2AlSbSe at its relaxed geometry.

Summary:
Total energy ... -5.85 eV/atom

Cell and atoms, written as POSCAR:
```
Ta2AlSbSe
1.0
-2.365 1.214 3.950
2.584 -3.844 2.728
3.441 3.099 1.107
Se Al Ta Sb
1 1 2 1
Direct
0.000 0.000 0.000
0.500 0.500 0.500
0.000 0.000 0.500
0.500 0.000 0.000
0.000 0.500 0.000
```

Among the records above, which one has the lowest total energy? Ta2AlSbSe

What is the formula in the sixth record? Ta2AlSbSe